No. 1
A plane-wave DFT calculation with PBE was carried out for an optimized crystal structure of SrTa3.

Cell lengths 4.4257, 4.4257, 4.4257 Å; angles 90.00, 90.00, 90.00 degrees
Positions (direct):
1 Sr 0.0000 0.0000 0.0000
2 Ta 0.0000 0.5000 0.5000
3 Ta 0.5000 0.0000 0.5000
4 Ta 0.5000 0.5000 0.0000

Output
- D(E_F): 7.96 states/eV per cell
- Crystal system: cubic
- Energy: -32.557 eV/cell
- Energy relative to the elements: 1.17 eV/atom
- Calculated volume: 21.672 Å³ per atom


No. 2
A plane-wave DFT calculation with PBE was carried out for an optimized crystal structure of Ga2AgPt.

Cell lengths 4.7993, 4.7993, 4.7993 Å; angles 136.07, 95.70, 100.40 degrees
Positions (direct):
1 Ga 0.2032 0.0000 0.2032
2 Ga 0.7968 0.0000 0.7968
3 Ag 0.6052 0.6052 0.0000
4 Pt 0.2227 0.7227 0.5000

Output
- D(E_F): 0.92 states/eV per cell
- Crystal system: orthorhombic
- Energy: -16.229 eV/cell
- Energy relative to the elements: -0.32 eV/atom
- Calculated volume: 17.763 Å³ per atom


No. 3
A plane-wave DFT calculation with PBE was carried out for an optimized crystal structure of Ac8LaTb3.

Cell lengths 10.2107, 10.2107, 10.8639 Å; angles 121.77, 121.77, 31.27 degrees
Positions (direct):
1 Ac 0.0000 0.0000 0.0000
2 Ac 0.0002 0.0002 0.4859
3 Ac 0.1665 0.1665 0.8998
4 Ac 0.3323 0.3323 0.3242
5 Ac 0.4991 0.4991 0.7430
6 Ac 0.6648 0.6648 0.1659
7 Ac 0.8300 0.8300 0.5839
8 Ac 0.8320 0.8320 0.0660
9 La 0.1652 0.1652 0.4185
10 Tb 0.3307 0.3307 0.8248
11 Tb 0.5004 0.5004 0.2446
12 Tb 0.6653 0.6653 0.6525

Output
- D(E_F): 21.54 states/eV per cell
- Crystal system: monoclinic
- Energy: -51.095 eV/cell
- Energy relative to the elements: 0.05 eV/atom
- Calculated volume: 41.024 Å³ per atom


No. 4
A plane-wave DFT calculation with PBE was carried out for an optimized crystal structure of Ag4OsCl.

Cell lengths 5.4955, 5.4955, 5.4955 Å; angles 60.00, 60.00, 60.00 degrees
Positions (direct):
1 Ag 0.1253 0.1253 0.1253
2 Ag 0.1253 0.1253 0.6240
3 Ag 0.1253 0.6240 0.1253
4 Ag 0.6240 0.1253 0.1253
5 Os 0.5000 0.5000 0.5000
6 Cl 0.7500 0.7500 0.7500

Output
- D(E_F): 1.72 states/eV per cell
- Crystal system: cubic
- Energy: -18.871 eV/cell
- Uncorrected formation energy: 0.935 eV/atom
- Calculated volume: 19.559 Å³ per atom


No. 5
A plane-wave DFT calculation with PBE was carried out for an optimized crystal structure of SiCS2Cl.

Cell lengths 4.5326, 4.5326, 4.5710 Å; angles 90.00, 90.00, 90.00 degrees
Positions (direct):
1 Si 0.0000 0.0000 0.0000
2 C 0.5000 0.5000 0.5000
3 S 0.0000 0.5000 0.0000
4 S 0.5000 0.0000 0.0000
5 Cl 0.0000 0.0000 0.5000

Output
- D(E_F): 2.07 states/eV per cell
- Crystal system: tetragonal
- Energy: -17.389 eV/cell
- Uncorrected formation energy: 1.472 eV/atom
- Calculated volume: 18.782 Å³ per atom


No. 6
A plane-wave DFT calculation with PBE was carried out for an optimized crystal structure of DyThSi2Pt2.

Cell lengths 4.2203, 4.2203, 8.0221 Å; angles 90.00, 90.00, 120.00 degrees
Positions (direct):
1 Dy 0.0000 0.0000 0.0000
2 Th 0.0000 0.0000 0.5000
3 Si 0.3333 0.6667 0.7512
4 Si 0.6667 0.3333 0.2488
5 Pt 0.3333 0.6667 0.2371
6 Pt 0.6667 0.3333 0.7629

Output
- D(E_F): 4.23 states/eV per cell
- Crystal system: trigonal
- Energy: -41.944 eV/cell
- Uncorrected formation energy: -1.166 eV/atom
- Calculated volume: 20.623 Å³ per atom


No. 7
A plane-wave DFT calculation with PBE was carried out for an optimized crystal structure of TlZnCrSe3.

Cell lengths 8.4487, 3.8881, 9.7401 Å; angles 90.00, 111.20, 90.00 degrees
Positions (direct):
1 Tl 0.2203 0.2500 0.2389
2 Tl 0.7797 0.7500 0.7611
3 Zn 0.0826 0.2500 0.6097
4 Zn 0.9174 0.7500 0.3903
5 Cr 0.3307 0.7500 0.8598
6 Cr 0.6693 0.2500 0.1402
7 Se 0.1257 0.2500 0.8697
8 Se 0.2353 0.7500 0.5577
9 Se 0.4686 0.7500 0.1340
10 Se 0.5314 0.2500 0.8660
11 Se 0.7647 0.2500 0.4423
12 Se 0.8743 0.7500 0.1303

Output
- Crystal system: monoclinic
- Energy: -53.681 eV/cell
- Uncorrected formation energy: -0.521 eV/atom
- Calculated volume: 24.859 Å³ per atom


No. 8
A plane-wave DFT calculation with PBE was carried out for an optimized crystal structure of SrBe2Os.

Cell lengths 3.0897, 3.1096, 6.5381 Å; angles 90.00, 90.00, 90.00 degrees
Positions (direct):
1 Sr 0.0000 0.0000 0.0000
2 Be 0.5000 0.5000 0.3453
3 Be 0.5000 0.5000 0.6547
4 Os 0.0000 0.0000 0.5000

Output
- D(E_F): 2.67 states/eV per cell
- Crystal system: orthorhombic
- Energy: -19.611 eV/cell
- Energy relative to the elements: 0.19 eV/atom
- Calculated volume: 15.704 Å³ per atom


No. 9
A plane-wave DFT calculation with PBE was carried out for an optimized crystal structure of CaZr2F.

Cell lengths 5.0450, 5.0450, 5.0450 Å; angles 60.00, 60.00, 60.00 degrees
Positions (direct):
1 Ca 0.0000 0.0000 0.0000
2 Zr 0.2500 0.2500 0.2500
3 Zr 0.7500 0.7500 0.7500
4 F 0.5000 0.5000 0.5000

Output
- D(E_F): 6.14 states/eV per cell
- Crystal system: cubic
- Energy: -19.288 eV/cell
- Uncorrected formation energy: 0.420 eV/atom
- Calculated volume: 22.699 Å³ per atom


No. 10
A plane-wave DFT calculation with PBE was carried out for an optimized crystal structure of BiSb2Pb6I3.

Cell lengths 8.1232, 8.1232, 8.2811 Å; angles 99.41, 99.41, 119.96 degrees
Positions (direct):
1 Bi 0.0000 0.0000 0.0000
2 Sb 0.3333 0.6667 0.0000
3 Sb 0.6667 0.3333 0.0000
4 Pb 0.0711 0.4105 0.2133
5 Pb 0.2681 0.2681 0.7866
6 Pb 0.4105 0.0711 0.2133
7 Pb 0.5895 0.9289 0.7867
8 Pb 0.7319 0.7319 0.2134
9 Pb 0.9289 0.5895 0.7867
10 I 0.1656 0.8344 0.5000
11 I 0.5000 0.5000 0.5000
12 I 0.8344 0.1656 0.5000

Output
- D(E_F): 0.45 states/eV per cell
- Crystal system: monoclinic
- Energy: -41.873 eV/cell
- Uncorrected formation energy: -0.237 eV/atom
- Calculated volume: 37.285 Å³ per atom


No. 11
A plane-wave DFT calculation with PBE was carried out for an optimized crystal structure of Zr2TiO.

Cell lengths 5.7251, 5.7251, 5.7251 Å; angles 146.55, 138.98, 53.92 degrees
Positions (direct):
1 Zr 0.1614 0.1614 0.0000
2 Zr 0.8386 0.8386 0.0000
3 Ti 0.5000 0.5000 0.0000
4 O 0.0000 0.5000 0.5000

Output
- D(E_F): 4.07 states/eV per cell
- Crystal system: orthorhombic
- Energy: -35.186 eV/cell
- Uncorrected formation energy: -1.309 eV/atom
- Calculated volume: 16.862 Å³ per atom


No. 12
A plane-wave DFT calculation with PBE was carried out for an optimized crystal structure of SmDy2YTm.

Cell lengths 7.0858, 7.0858, 7.2061 Å; angles 90.00, 90.00, 107.47 degrees
Positions (direct):
1 Sm 0.2265 0.7735 0.7500
2 Sm 0.7735 0.2265 0.2500
3 Dy 0.1893 0.1893 0.0000
4 Dy 0.1893 0.1893 0.5000
5 Dy 0.8107 0.8107 0.0000
6 Dy 0.8107 0.8107 0.5000
7 Y 0.4997 0.5003 0.2500
8 Y 0.5003 0.4997 0.7500
9 Tm 0.2206 0.7794 0.2500
10 Tm 0.7794 0.2206 0.7500

Output
- D(E_F): 15.18 states/eV per cell
- Crystal system: orthorhombic
- Energy: -45.600 eV/cell
- Energy relative to the elements: 0.41 eV/atom
- Calculated volume: 34.510 Å³ per atom


No. 13
A plane-wave DFT calculation with PBE was carried out for an optimized crystal structure of Pr3Au.

Cell lengths 7.1807, 7.1807, 5.3093 Å; angles 90.00, 90.00, 120.00 degrees
Positions (direct):
1 Pr 0.1782 0.3563 0.2500
2 Pr 0.1782 0.8218 0.2500
3 Pr 0.3563 0.1782 0.7500
4 Pr 0.6437 0.8218 0.2500
5 Pr 0.8218 0.1782 0.7500
6 Pr 0.8218 0.6437 0.7500
7 Au 0.3333 0.6667 0.7500
8 Au 0.6667 0.3333 0.2500

Output
- D(E_F): 10.50 states/eV per cell
- Crystal system: hexagonal
- Energy: -36.929 eV/cell
- Energy relative to the elements: -0.21 eV/atom
- Calculated volume: 29.636 Å³ per atom


No. 14
A plane-wave DFT calculation with PBE was carried out for an optimized crystal structure of AsSeN2.

Cell lengths 3.5324, 3.6816, 9.4319 Å; angles 87.28, 81.19, 77.36 degrees
Positions (direct):
1 As 0.0000 0.0000 0.0000
2 Se 0.6394 0.6263 0.8797
3 N 0.1453 0.0604 0.4980
4 N 0.3028 0.8854 0.4051

Output
- D(E_F): 0.34 states/eV per cell
- Crystal system: triclinic
- Energy: -24.412 eV/cell
- Uncorrected formation energy: 0.093 eV/atom
- Calculated volume: 29.566 Å³ per atom


No. 15
A plane-wave DFT calculation with PBE was carried out for an optimized crystal structure of Zr2ScRh.

Cell lengths 9.4985, 9.4985, 9.4985 Å; angles 19.51, 19.51, 19.51 degrees
Positions (direct):
1 Zr 0.0000 0.0000 0.0000
2 Zr 0.2420 0.2420 0.2420
3 Sc 0.4777 0.4777 0.4777
4 Rh 0.7397 0.7397 0.7397

Output
- D(E_F): 3.73 states/eV per cell
- Crystal system: trigonal
- Energy: -31.815 eV/cell
- Energy relative to the elements: -0.26 eV/atom
- Calculated volume: 20.886 Å³ per atom


No. 16
A plane-wave DFT calculation with PBE was carried out for an optimized crystal structure of MgFe2Ni8.

Cell lengths 6.6849, 6.6849, 5.6993 Å; angles 105.10, 105.10, 31.11 degrees
Positions (direct):
1 Mg 0.0000 0.0000 0.0000
2 Fe 0.2720 0.2720 0.3518
3 Fe 0.7280 0.7280 0.6482
4 Ni 0.0939 0.0939 0.4656
5 Ni 0.1844 0.1844 0.9087
6 Ni 0.3580 0.3580 0.8057
7 Ni 0.4529 0.4529 0.2838
8 Ni 0.5471 0.5471 0.7162
9 Ni 0.6420 0.6420 0.1943
10 Ni 0.8156 0.8156 0.0913
11 Ni 0.9061 0.9061 0.5344

Output
- D(E_F): 10.66 states/eV per cell
- Crystal system: monoclinic
- Energy: -65.426 eV/cell
- Energy relative to the elements: -0.06 eV/atom
- Calculated volume: 11.516 Å³ per atom


No. 17
A plane-wave DFT calculation with PBE was carried out for an optimized crystal structure of SiTc2Hg.

Cell lengths 4.4721, 4.4721, 4.4721 Å; angles 60.00, 60.00, 60.00 degrees
Positions (direct):
1 Si 0.0000 0.0000 0.0000
2 Tc 0.5000 0.5000 0.5000
3 Tc 0.7500 0.7500 0.7500
4 Hg 0.2500 0.2500 0.2500

Output
- D(E_F): 3.41 states/eV per cell
- Crystal system: cubic
- Energy: -24.056 eV/cell
- Uncorrected formation energy: 0.600 eV/atom
- Calculated volume: 15.811 Å³ per atom


No. 18
A plane-wave DFT calculation with PBE was carried out for an optimized crystal structure of Tl2ZnHg4.

Cell lengths 8.8289, 8.8289, 8.8289 Å; angles 94.83, 94.83, 146.28 degrees
Positions (direct):
1 Tl 0.1104 0.6104 0.7209
2 Tl 0.3896 0.1104 0.5000
3 Tl 0.6104 0.8896 0.5000
4 Tl 0.8896 0.3896 0.2791
5 Zn 0.2500 0.2500 0.0000
6 Zn 0.7500 0.7500 0.0000
7 Hg 0.1014 0.2080 0.3094
8 Hg 0.2080 0.8986 0.1066
9 Hg 0.2920 0.3986 0.6906
10 Hg 0.3986 0.7080 0.1066
11 Hg 0.6014 0.2920 0.8934
12 Hg 0.7080 0.6014 0.3094
13 Hg 0.7920 0.1014 0.8934
14 Hg 0.8986 0.7920 0.6906

Output
- D(E_F): 4.67 states/eV per cell
- Crystal system: tetragonal
- Energy: -14.109 eV/cell
- Energy relative to the elements: 0.02 eV/atom
- Calculated volume: 26.116 Å³ per atom


No. 19
A plane-wave DFT calculation with PBE was carried out for an optimized crystal structure of Ta3Nb3Mo4.

Cell lengths 3.2755, 7.4433, 7.4433 Å; angles 89.76, 90.00, 90.00 degrees
Positions (direct):
1 Ta 0.0000 0.0000 0.0000
2 Ta 0.0000 0.5368 0.8741
3 Ta 0.0000 0.8741 0.5368
4 Nb 0.0000 0.3128 0.3128
5 Nb 0.5000 0.1953 0.6614
6 Nb 0.5000 0.6614 0.1953
7 Mo 0.5000 0.0084 0.2946
8 Mo 0.5000 0.2946 0.0084
9 Mo 0.5000 0.5294 0.5294
10 Mo 0.5000 0.8046 0.8046

Output
- D(E_F): 9.67 states/eV per cell
- Crystal system: orthorhombic
- Energy: -105.398 eV/cell
- Energy relative to the elements: 0.37 eV/atom
- Calculated volume: 18.147 Å³ per atom


No. 20
A plane-wave DFT calculation with PBE was carried out for an optimized crystal structure of Mg9Tl2Zn.

Cell lengths 4.4590, 4.4590, 13.3935 Å; angles 90.00, 90.00, 90.00 degrees
Positions (direct):
1 Mg 0.0000 0.0000 0.0000
2 Mg 0.0000 0.0000 0.3270
3 Mg 0.0000 0.0000 0.6730
4 Mg 0.0000 0.5000 0.1542
5 Mg 0.0000 0.5000 0.5000
6 Mg 0.0000 0.5000 0.8458
7 Mg 0.5000 0.0000 0.1542
8 Mg 0.5000 0.0000 0.5000
9 Mg 0.5000 0.0000 0.8458
10 Tl 0.5000 0.5000 0.3277
11 Tl 0.5000 0.5000 0.6723
12 Zn 0.5000 0.5000 0.0000

Output
- D(E_F): 3.64 states/eV per cell
- Crystal system: tetragonal
- Energy: -20.809 eV/cell
- Energy relative to the elements: -0.04 eV/atom
- Calculated volume: 22.191 Å³ per atom